# LaZnNiPb

LaZnNiPb after structural relaxation (PBE, Alexandria via LeMat-Bulk).

a = 4.960 Å, b = 4.960 Å, c = 4.960 Å
α = 60.00°, β = 60.00°, γ = 60.00°
Atoms (fractional coordinates):
Zn 0.500 0.500 0.500
La 0.750 0.750 0.750
Pb 0.250 0.250 0.250
Ni 0.000 0.000 0.000

Properties
Energy   -4.165 eV per atom

# LiTiRe

LiTiRe after structural relaxation (PBE, Alexandria via LeMat-Bulk).

a = 4.208 Å, b = 4.208 Å, c = 4.208 Å
α = 60.00°, β = 60.00°, γ = 60.00°
Atoms (fractional coordinates):
Li 0.000 0.000 0.000
Ti 0.250 0.250 0.250
Re 0.500 0.500 0.500

Properties
Energy   -6.369 eV per atom